[1]
First-principles (PBE) data for an optimized crystal structure of Tm2FePd, as listed in Alexandria.

abc: 4.764 4.764 4.764
angles: 60.00 60.00 60.00
Positions (direct):
1 Tm 0.250 0.250 0.250
2 Fe 0.000 0.000 0.000
3 Tm 0.750 0.750 0.750
4 Pd 0.500 0.500 0.500

energy of formation = -377 meV/atom
total energy = -24.11 eV/cell
distance to the lowest polymorph of the same formula = 0.065 eV per atom
space-group type = Fm-3m, No. 225


[2]
First-principles (PBE) data for an optimized crystal structure of Tm2FePd, as listed in Alexandria.

abc: 3.364 3.364 6.728
angles: 90.00 90.00 90.00
Positions (direct):
1 Pd 0.500 0.500 0.500
2 Tm 0.000 0.000 0.236
3 Tm 0.000 0.000 0.764
4 Fe 0.500 0.500 0.000

energy of formation = -442 meV/atom
total energy = -24.37 eV/cell
distance to the lowest polymorph of the same formula = 0.000 eV per atom
space-group type = P4/mmm, No. 123


[3]
First-principles (PBE) data for an optimized crystal structure of Tm8FePd2, as listed in Alexandria.

abc: 5.933 7.605 7.605
angles: 115.53 102.12 102.12
Positions (direct):
1 Pd 0.488 0.318 0.701
2 Tm 0.365 0.666 0.916
3 Tm 0.584 0.342 0.094
4 Tm 0.988 0.194 0.800
5 Tm 0.584 0.094 0.342
6 Pd 0.488 0.701 0.318
7 Tm 0.365 0.916 0.666
8 Tm 0.807 0.653 0.653
9 Fe 0.173 0.999 0.999
10 Tm 0.171 0.350 0.350
11 Tm 0.988 0.800 0.194

energy of formation = -240 meV/atom
total energy = -57.26 eV/cell
distance to the lowest polymorph of the same formula = 0.093 eV per atom
space-group type = Cm, No. 8


[4]
First-principles (PBE) data for an optimized crystal structure of Tm4FePd, as listed in Alexandria.

abc: 6.063 7.694 7.694
angles: 110.75 107.28 107.28
Positions (direct):
1 Tm 0.709 0.226 0.354
2 Tm 0.209 0.354 0.226
3 Tm 0.590 0.292 0.946
4 Tm 0.291 0.774 0.646
5 Tm 0.910 0.054 0.708
6 Pd 0.250 0.364 0.636
7 Tm 0.791 0.646 0.774
8 Tm 0.410 0.708 0.054
9 Fe 0.750 0.998 0.002
10 Tm 0.090 0.946 0.292
11 Fe 0.250 0.002 0.998
12 Pd 0.750 0.636 0.364

energy of formation = -344 meV/atom
total energy = -67.21 eV/cell
space-group type = C2/c, No. 15


[5]
First-principles (PBE) data for an optimized crystal structure of Tm8FePd2, as listed in Alexandria.

abc: 5.011 6.649 8.791
angles: 106.73 106.56 90.00
Positions (direct):
1 Pd 0.814 0.291 0.628
2 Tm 0.800 0.692 0.599
3 Fe 0.500 0.000 0.000
4 Tm 0.591 0.432 0.181
5 Pd 0.186 0.709 0.372
6 Tm 0.338 0.034 0.676
7 Tm 0.409 0.568 0.819
8 Tm 0.662 0.966 0.324
9 Tm 0.970 0.204 0.940
10 Tm 0.200 0.308 0.401
11 Tm 0.030 0.796 0.060

energy of formation = -333 meV/atom
total energy = -58.28 eV/cell
distance to the lowest polymorph of the same formula = 0.000 eV per atom
space-group type = C2/m, No. 12


[6]
First-principles (PBE) data for an optimized crystal structure of Tm8Fe2Pd, as listed in Alexandria.

abc: 5.587 7.372 7.372
angles: 111.59 99.31 99.31
Positions (direct):
1 Fe 0.493 0.315 0.693
2 Tm 0.398 0.934 0.669
3 Tm 0.992 0.230 0.776
4 Fe 0.493 0.693 0.315
5 Tm 0.992 0.776 0.230
6 Tm 0.796 0.629 0.629
7 Tm 0.585 0.340 0.074
8 Tm 0.398 0.669 0.934
9 Pd 0.081 0.001 0.001
10 Tm 0.585 0.074 0.340
11 Tm 0.187 0.375 0.375

energy of formation = -123 meV/atom
total energy = -59.24 eV/cell
space-group type = Cm, No. 8


[7]
First-principles (PBE) data for an optimized crystal structure of TmFe2Pd8, as listed in Alexandria.

abc: 4.019 6.334 7.339
angles: 106.19 105.89 90.00
Site moments in Bohr magnetons follow the coordinates.
Positions (direct):
1 Pd 0.046 0.723 0.092  0.10
2 Pd 0.316 0.081 0.632  0.18
3 Pd 0.396 0.531 0.793  0.21
4 Pd 0.604 0.469 0.207  0.21
5 Pd 0.147 0.209 0.295  0.17
6 Pd 0.954 0.277 0.908  0.10
7 Fe 0.775 0.348 0.550  3.22
8 Pd 0.684 0.919 0.368  0.18
9 Fe 0.225 0.652 0.450  3.22
10 Tm 0.500 0.000 0.000  -0.08
11 Pd 0.853 0.791 0.705  0.17

energy of formation = -347 meV/atom
total energy = -66.76 eV/cell
space-group type = C2/m, No. 12


[8]
First-principles (PBE) data for an optimized crystal structure of Tm3FePd12, as listed in Alexandria.

abc: 4.056 4.056 16.092
angles: 90.00 90.00 90.00
Site moments in Bohr magnetons follow the coordinates.
Positions (direct):
1 Fe 0.000 0.000 0.000  3.35
2 Pd 0.500 0.500 0.757  0.02
3 Pd 0.000 0.500 0.629  0.00
4 Tm 0.000 0.000 0.500  -0.01
5 Tm 0.000 0.000 0.244  -0.02
6 Pd 0.500 0.500 0.000  0.24
7 Pd 0.500 0.000 0.114  0.18
8 Pd 0.000 0.500 0.371  0.00
9 Tm 0.000 0.000 0.756  -0.02
10 Pd 0.500 0.500 0.243  0.02
11 Pd 0.500 0.000 0.886  0.18
12 Pd 0.500 0.000 0.629  0.00
13 Pd 0.500 0.000 0.371  0.00
14 Pd 0.000 0.500 0.114  0.18
15 Pd 0.000 0.500 0.886  0.18
16 Pd 0.500 0.500 0.500  -0.01

energy of formation = -697 meV/atom
total energy = -95.35 eV/cell
space-group type = P4/mmm, No. 123


[9]
First-principles (PBE) data for an optimized crystal structure of TmFePd6, as listed in Alexandria.

abc: 4.003 4.003 7.964
angles: 90.00 90.00 90.00
Site moments in Bohr magnetons follow the coordinates.
Positions (direct):
1 Pd 0.000 0.500 0.265  0.17
2 Pd 0.500 0.000 0.735  0.17
3 Pd 0.500 0.000 0.265  0.17
4 Pd 0.500 0.500 0.000  0.05
5 Fe 0.000 0.000 0.500  3.35
6 Pd 0.000 0.500 0.735  0.17
7 Pd 0.500 0.500 0.500  0.21
8 Tm 0.000 0.000 0.000  -0.04

energy of formation = -487 meV/atom
total energy = -47.99 eV/cell
space-group type = P4/mmm, No. 123


[10]
First-principles (PBE) data for an optimized crystal structure of YTmFePd, as listed in Alexandria.

abc: 4.829 4.829 4.829
angles: 60.00 60.00 60.00
Site moments in Bohr magnetons follow the coordinates.
Positions (direct):
1 Pd 0.750 0.750 0.750  0.04
2 Y 0.000 0.000 0.000  -0.15
3 Fe 0.250 0.250 0.250  1.21
4 Tm 0.500 0.500 0.500  -0.23

energy of formation = -330 meV/atom
total energy = -25.91 eV/cell
space-group type = F-43m, No. 216


[11]
First-principles (PBE) data for an optimized crystal structure of TmZrFePd, as listed in Alexandria.

abc: 4.693 4.693 4.693
angles: 60.00 60.00 60.00
Positions (direct):
1 Pd 0.250 0.250 0.250
2 Tm 0.500 0.500 0.500
3 Zr 0.000 0.000 0.000
4 Fe 0.750 0.750 0.750

energy of formation = -351 meV/atom
total energy = -28.08 eV/cell
space-group type = F-43m, No. 216


[12]
First-principles (PBE) data for an optimized crystal structure of UFePd, as listed in Alexandria.

abc: 3.838 5.565 5.648
angles: 60.49 79.21 90.00
Site moments in Bohr magnetons follow the coordinates.
Positions (direct):
1 Fe 0.422 0.364 0.273  0.03
2 U 0.337 0.806 0.387  -0.07
3 Pd 0.000 0.248 0.000  0.00
4 U 0.663 0.194 0.613  -0.07
5 Pd 0.000 0.752 0.000  0.00
6 Fe 0.578 0.636 0.727  0.03

energy of formation = -247 meV/atom
total energy = -51.37 eV/cell
space-group type = C2/m, No. 12


[13]
First-principles (PBE) data for an optimized crystal structure of UFePd6, as listed in Alexandria.

abc: 4.062 4.062 7.872
angles: 90.00 90.00 90.00
Site moments in Bohr magnetons follow the coordinates.
Positions (direct):
1 Pd 0.500 0.500 0.500  0.06
2 Pd 0.500 0.000 0.240  0.15
3 U 0.000 0.000 0.500  -1.52
4 Pd 0.000 0.500 0.240  0.15
5 Pd 0.500 0.000 0.760  0.15
6 Pd 0.000 0.500 0.760  0.15
7 Pd 0.500 0.500 0.000  0.25
8 Fe 0.000 0.000 0.000  3.39

energy of formation = -318 meV/atom
total energy = -53.45 eV/cell
space-group type = P4/mmm, No. 123


[14]
First-principles (PBE) data for an optimized crystal structure of UFePd, as listed in Alexandria.

abc: 3.035 3.035 5.899
angles: 104.91 104.91 90.00
Site moments in Bohr magnetons follow the coordinates.
Positions (direct):
1 Pd 0.017 0.017 0.034  0.10
2 U 0.318 0.318 0.636  -2.04
3 Fe 0.665 0.665 0.330  2.04

energy of formation = -8 meV/atom
total energy = -24.97 eV/cell
space-group type = I4mm, No. 107


[15]
First-principles (PBE) data for an optimized crystal structure of U2FePd9, as listed in Alexandria.

abc: 4.092 4.092 12.020
angles: 90.00 90.00 90.00
Site moments in Bohr magnetons follow the coordinates.
Positions (direct):
1 Pd 0.500 0.500 0.671  0.04
2 Fe 0.000 0.000 0.000  3.40
3 Pd 0.500 0.000 0.156  0.15
4 U 0.000 0.000 0.323  -1.79
5 U 0.000 0.000 0.677  -1.79
6 Pd 0.000 0.500 0.156  0.15
7 Pd 0.000 0.500 0.844  0.15
8 Pd 0.500 0.000 0.500  0.04
9 Pd 0.500 0.500 0.000  0.24
10 Pd 0.000 0.500 0.500  0.04
11 Pd 0.500 0.000 0.844  0.15
12 Pd 0.500 0.500 0.329  0.04

energy of formation = -382 meV/atom
total energy = -82.36 eV/cell
space-group type = P4/mmm, No. 123


[16]
First-principles (PBE) data for an optimized crystal structure of UFe2Pd, as listed in Alexandria.

abc: 3.666 4.036 4.036
angles: 90.00 90.00 90.00
Site moments in Bohr magnetons follow the coordinates.
Positions (direct):
1 U 0.500 0.500 0.500  -1.73
2 Pd 0.500 0.000 0.000  0.08
3 Fe 0.000 0.500 0.000  1.65
4 Fe 0.000 0.000 0.500  1.65

energy of formation = -177 meV/atom
total energy = -34.11 eV/cell
space-group type = P4/mmm, No. 123


[17]
First-principles (PBE) data for an optimized crystal structure of VFePd5, as listed in Alexandria.

abc: 3.936 3.936 7.019
angles: 90.00 90.00 90.00
Site moments in Bohr magnetons follow the coordinates.
Positions (direct):
1 Fe 0.500 0.500 0.000  3.25
2 Pd 0.000 0.500 0.229  0.23
3 V 0.000 0.000 0.500  -0.60
4 Pd 0.000 0.500 0.771  0.23
5 Pd 0.500 0.000 0.771  0.23
6 Pd 0.500 0.500 0.500  0.10
7 Pd 0.500 0.000 0.229  0.23

energy of formation = -59 meV/atom
total energy = -43.96 eV/cell
distance to the lowest polymorph of the same formula = 0.000 eV per atom
space-group type = P4/mmm, No. 123


[18]
First-principles (PBE) data for an optimized crystal structure of V2Fe2Pd, as listed in Alexandria.

abc: 6.872 6.872 2.708
angles: 90.00 90.00 90.00
Positions (direct):
1 Pd 0.500 0.500 0.000
2 Pd 0.000 0.000 0.000
3 V 0.352 0.852 0.000
4 Fe 0.645 0.855 0.500
5 V 0.648 0.148 0.000
6 Fe 0.355 0.145 0.500
7 V 0.148 0.352 0.000
8 V 0.852 0.648 0.000
9 Fe 0.855 0.355 0.500
10 Fe 0.145 0.645 0.500

energy of formation = 55 meV/atom
total energy = -80.16 eV/cell
distance to the lowest polymorph of the same formula = 0.131 eV per atom
space-group type = P4/mbm, No. 127


[19]
First-principles (PBE) data for an optimized crystal structure of VFePd6, as listed in Alexandria.

abc: 3.894 3.894 7.792
angles: 90.00 90.00 90.00
Site moments in Bohr magnetons follow the coordinates.
Positions (direct):
1 V 0.000 0.000 0.500  1.15
2 Pd 0.000 0.500 0.252  0.12
3 Pd 0.500 0.500 0.500  0.04
4 Pd 0.500 0.500 0.000  0.26
5 Fe 0.000 0.000 0.000  3.38
6 Pd 0.000 0.500 0.748  0.12
7 Pd 0.500 0.000 0.252  0.12
8 Pd 0.500 0.000 0.748  0.12

energy of formation = -178 meV/atom
total energy = -50.16 eV/cell
distance to the lowest polymorph of the same formula = 0.000 eV per atom
space-group type = P4/mmm, No. 123


[20]
First-principles (PBE) data for an optimized crystal structure of V2FePd2, as listed in Alexandria.

abc: 2.675 4.581 6.183
angles: 74.09 77.46 73.00
Site moments in Bohr magnetons follow the coordinates.
Positions (direct):
1 Pd 0.595 0.695 0.615  0.04
2 Fe 0.000 0.500 0.000  2.22
3 V 0.800 0.092 0.805  -0.24
4 V 0.200 0.908 0.195  -0.24
5 Pd 0.405 0.305 0.385  0.04

energy of formation = -104 meV/atom
total energy = -37.60 eV/cell
distance to the lowest polymorph of the same formula = 0.000 eV per atom
space-group type = C2/m, No. 12


[21]
First-principles (PBE) data for an optimized crystal structure of VFe2Pd8, as listed in Alexandria.

abc: 4.477 7.054 6.839
angles: 58.96 78.68 67.63
Site moments in Bohr magnetons follow the coordinates.
Positions (direct):
1 Fe 0.000 0.310 0.379  3.23
2 V 0.500 0.000 0.000  -1.47
3 Pd 0.114 0.677 0.233  0.22
4 Pd 0.312 0.382 0.000  0.15
5 Pd 0.688 0.618 0.000  0.15
6 Pd 0.886 0.323 0.767  0.22
7 Pd 0.500 0.784 0.432  0.23
8 Fe 0.000 0.690 0.621  3.23
9 Pd 0.114 0.910 0.767  0.22
10 Pd 0.500 0.216 0.568  0.23
11 Pd 0.886 0.090 0.233  0.22

energy of formation = 29 meV/atom
total energy = -67.26 eV/cell
distance to the lowest polymorph of the same formula = 0.171 eV per atom
space-group type = C2/m, No. 12


[22]
First-principles (PBE) data for an optimized crystal structure of V2FePd2, as listed in Alexandria.

abc: 7.426 7.426 2.687
angles: 90.00 90.00 90.00
Site moments in Bohr magnetons follow the coordinates.
Positions (direct):
1 Pd 0.628 0.128 0.000  0.02
2 Pd 0.872 0.628 0.000  0.02
3 V 0.671 0.829 0.500  -0.44
4 V 0.829 0.329 0.500  -0.44
5 V 0.329 0.171 0.500  -0.44
6 Pd 0.372 0.872 0.000  0.02
7 Pd 0.128 0.372 0.000  0.02
8 Fe 0.000 0.000 0.000  2.88
9 Fe 0.500 0.500 0.000  2.88
10 V 0.171 0.671 0.500  -0.44

energy of formation = 137 meV/atom
total energy = -72.80 eV/cell
distance to the lowest polymorph of the same formula = 0.240 eV per atom
space-group type = P4/mbm, No. 127


[23]
First-principles (PBE) data for an optimized crystal structure of VFe4Pd5, as listed in Alexandria.

abc: 2.709 2.709 18.988
angles: 90.00 90.00 90.00
Site moments in Bohr magnetons follow the coordinates.
Positions (direct):
1 Fe 0.000 0.000 0.600  2.96
2 Fe 0.000 0.000 0.400  2.96
3 Fe 0.000 0.000 0.798  2.98
4 Pd 0.500 0.500 0.699  0.35
5 Pd 0.500 0.500 0.500  0.34
6 Pd 0.500 0.500 0.101  0.19
7 Pd 0.500 0.500 0.899  0.19
8 Fe 0.000 0.000 0.202  2.98
9 Pd 0.500 0.500 0.301  0.35
10 V 0.000 0.000 0.000  -0.05

energy of formation = -79 meV/atom
total energy = -69.72 eV/cell
space-group type = P4/mmm, No. 123


[24]
First-principles (PBE) data for an optimized crystal structure of V2FePd7, as listed in Alexandria.

abc: 2.729 9.050 9.050
angles: 132.23 90.00 90.00
Site moments in Bohr magnetons follow the coordinates.
Positions (direct):
1 Fe 0.000 0.000 0.000  3.01
2 V 0.500 0.655 0.345  -0.71
3 Pd 0.000 0.782 0.218  0.00
4 Pd 0.500 0.300 0.099  0.10
5 V 0.500 0.345 0.655  -0.71
6 Pd 0.500 0.901 0.700  0.10
7 Pd 0.000 0.218 0.782  0.00
8 Pd 0.500 0.099 0.300  0.10
9 Pd 0.500 0.700 0.901  0.10
10 Pd 0.500 0.500 0.500  0.02

energy of formation = 235 meV/atom
total energy = -60.70 eV/cell
space-group type = Cmmm, No. 65